(1)
Computed, not measured: a relaxed structure of ZrV2IrN at the PBE-GGA level of DFT.

The density is 7.59 g cm⁻³. The value obtained for the uncorrected formation energy is 443 kJ/mol of formula units. As for the energy above the most stable polymorph in this dataset: 8.403 eV/f.u.

The structure belongs to space group P4/mmm (No. 123); the cell edges are 4.859, 4.859 and 3.703 Å and the angles 90.00°, 90.00° and 90.00°. The inequivalent atoms are Zr at (0.000, 0.000, 0.000), V at (0.000, 0.500, 0.500), Ir at (0.500, 0.500, 0.500) and N at (0.500, 0.500, 0.000).


(2)
Computed, not measured: a relaxed structure of IrW3N at the PBE-GGA level of DFT.

The density is 18.19 g cm⁻³. The value obtained for the uncorrected formation energy is -35 kJ/mol of formula units. As for the energy above the most stable polymorph in this dataset: 0.000 eV/f.u.

The structure belongs to space group Pm-3m (No. 221); the cell edges are 4.105, 4.105 and 4.105 Å and the angles 90.00°, 90.00° and 90.00°. The inequivalent atoms are Ir at (0.000, 0.000, 0.000), W at (0.000, 0.500, 0.500) and N at (0.500, 0.500, 0.500).


(3)
Computed, not measured: a relaxed structure of IrWN2 at the PBE-GGA level of DFT.

The density is 14.43 g cm⁻³. The value obtained for the uncorrected formation energy is 36 kJ/mol of formula units. As for the energy above the most stable polymorph in this dataset: 0.000 eV/f.u.

The structure belongs to space group R-3m (No. 166, hexagonal axes); the cell edges are 2.8630, 2.8630 and 19.6573 Å and the angles 90.00°, 90.00° and 120.00°. The inequivalent atoms are Ir at (0.0000, 0.0000, 0.0000), W at (0.0000, 0.0000, 0.5000) and N at (0.0000, 0.0000, 0.1015).


(4)
Computed, not measured: a relaxed structure of IrWN at the PBE-GGA level of DFT.

The density is 18.13 g cm⁻³. The value obtained for the uncorrected formation energy is -33 kJ/mol of formula units.

The structure belongs to space group P4/nmm (No. 129, origin choice 2); the cell edges are 2.829, 2.829 and 8.926 Å and the angles 90.00°, 90.00° and 90.00°. The inequivalent atoms are Ir at (0.250, 0.250, 0.110), W at (0.250, 0.250, 0.667) and N at (0.250, 0.250, 0.420).


(5)
Computed, not measured: a relaxed structure of IrWN2 at the PBE-GGA level of DFT.

The density is 16.31 g cm⁻³. The value obtained for the uncorrected formation energy is 435 kJ/mol of formula units. As for the energy above the most stable polymorph in this dataset: 4.132 eV/f.u.

The structure belongs to space group Fm-3m (No. 225); the cell edges are 5.479, 5.479 and 5.479 Å and the angles 90.00°, 90.00° and 90.00°. The inequivalent atoms are Ir at (0.000, 0.000, 0.000), W at (0.000, 0.000, 0.500) and N at (0.250, 0.250, 0.250).


(6)
Computed, not measured: a relaxed structure of IrW2N at the PBE-GGA level of DFT.

The density is 17.73 g cm⁻³. The value obtained for the uncorrected formation energy is 78 kJ/mol of formula units.

The structure belongs to space group R-3m (No. 166, hexagonal axes); the cell edges are 3.0844, 3.0844 and 19.5657 Å and the angles 90.00°, 90.00° and 120.00°. The inequivalent atoms are Ir at (0.0000, 0.0000, 0.0000), W at (0.0000, 0.0000, 0.2236) and N at (0.0000, 0.0000, 0.5000).


(7)
Computed, not measured: a relaxed structure of IrW3N at the PBE-GGA level of DFT.

The density is 11.76 g cm⁻³. The value obtained for the uncorrected formation energy is 1478 kJ/mol of formula units. As for the energy above the most stable polymorph in this dataset: 15.689 eV/f.u.

The structure belongs to space group Pm-3m (No. 221); the cell edges are 4.748, 4.748 and 4.748 Å and the angles 90.00°, 90.00° and 90.00°. The inequivalent atoms are Ir at (0.000, 0.000, 0.000), W at (0.000, 0.000, 0.500) and N at (0.500, 0.500, 0.500).


(8)
Computed, not measured: a relaxed structure of IrWN2 at the PBE-GGA level of DFT.

The density is 13.87 g cm⁻³. The value obtained for the uncorrected formation energy is 109 kJ/mol of formula units. As for the energy above the most stable polymorph in this dataset: 0.755 eV/f.u.

The structure belongs to space group I-42d (No. 122); the cell edges are 4.120, 4.120 and 11.403 Å and the angles 90.00°, 90.00° and 90.00°. The inequivalent atoms are Ir at (0.000, 0.000, 0.000), W at (0.000, 0.000, 0.500) and N at (0.231, 0.250, 0.625).